## Nd6Te5O (PBE-GGA)

Data for a geometry-optimized Nd6Te5O structure.

Results
* total DFT energy (no corrections): -67.764 eV/f.u.
* DOS at the Fermi energy: 6.2 states/eV per cell
* formation energy (no corrections): -18.49 eV per formula unit
* SG: C2/m, No. 12

Cell lengths 7.594, 7.594, 7.440 Å; angles 99.58, 99.58, 119.41 degrees
Fractional positions:
1 Nd 0.067 0.346 0.710
2 Nd 0.205 0.205 0.259
3 Nd 0.346 0.067 0.710
4 Nd 0.654 0.933 0.290
5 Nd 0.795 0.795 0.741
6 Nd 0.933 0.654 0.290
7 Te 0.186 0.814 0.000
8 Te 0.337 0.663 0.500
9 Te 0.500 0.500 0.000
10 Te 0.663 0.337 0.500
11 Te 0.814 0.186 0.000
12 O 0.000 0.000 0.500

=====

## Nd3TeO7 (PBE-GGA)

Data for a geometry-optimized Nd3TeO7 structure.

Results
* total DFT energy (no corrections): -81.403 eV/f.u.
* DOS at the Fermi energy: 2.9 states/eV per cell
* formation energy (no corrections): -29.25 eV per formula unit
* SG: C222_1, No. 20

Cell lengths 6.740, 6.740, 7.863 Å; angles 90.00, 90.00, 109.27 degrees
Fractional positions:
1 Nd 0.019 0.019 0.000
2 Nd 0.030 0.500 0.254
3 Nd 0.500 0.030 0.746
4 Nd 0.500 0.970 0.246
5 Nd 0.970 0.500 0.754
6 Nd 0.981 0.981 0.500
7 Te 0.499 0.499 0.500
8 Te 0.501 0.501 0.000
9 O 0.130 0.870 0.750
10 O 0.136 0.864 0.250
11 O 0.173 0.420 0.977
12 O 0.185 0.436 0.530
13 O 0.420 0.173 0.023
14 O 0.436 0.185 0.470
15 O 0.440 0.560 0.250
16 O 0.560 0.440 0.750
17 O 0.564 0.815 0.970
18 O 0.580 0.827 0.523
19 O 0.815 0.564 0.030
20 O 0.827 0.580 0.477
21 O 0.864 0.136 0.750
22 O 0.870 0.130 0.250

=====

## NdTeO (PBE-GGA)

Data for a geometry-optimized NdTeO structure.

Results
* total DFT energy (no corrections): -18.804 eV/f.u.
* DOS at the Fermi energy: 3.4 states/eV per cell
* formation energy (no corrections): -5.94 eV per formula unit
* SG: P-3m1, No. 164

Cell lengths 3.944, 3.944, 10.548 Å; angles 90.00, 90.00, 120.00 degrees
Fractional positions:
1 Nd 0.333 0.667 0.352
2 Nd 0.667 0.333 0.648
3 Te 0.333 0.667 0.886
4 Te 0.667 0.333 0.114
5 O 0.333 0.667 0.583
6 O 0.667 0.333 0.417

=====

## Nd5Te5O2 (PBE-GGA)

Data for a geometry-optimized Nd5Te5O2 structure.

Results
* total DFT energy (no corrections): -72.129 eV/f.u.
* DOS at the Fermi energy: 2.9 states/eV per cell
* formation energy (no corrections): -22.66 eV per formula unit
* SG: C2/m, No. 12

Cell lengths 7.433, 7.433, 11.304 Å; angles 99.45, 99.45, 32.05 degrees
Fractional positions:
1 Nd 0.000 0.000 0.000
2 Nd 0.101 0.101 0.339
3 Nd 0.360 0.360 0.211
4 Nd 0.640 0.640 0.789
5 Nd 0.899 0.899 0.661
6 Te 0.222 0.222 0.615
7 Te 0.335 0.335 0.910
8 Te 0.500 0.500 0.500
9 Te 0.665 0.665 0.090
10 Te 0.778 0.778 0.385
11 O 0.043 0.043 0.804
12 O 0.957 0.957 0.196

=====

## Nd4Te3O2 (PBE-GGA)

Data for a geometry-optimized Nd4Te3O2 structure.

Results
* total DFT energy (no corrections): -57.384 eV/f.u.
* DOS at the Fermi energy: 7.6 states/eV per cell
* formation energy (no corrections): -18.97 eV per formula unit
* SG: C2/c, No. 15

Cell lengths 8.588, 8.588, 6.772 Å; angles 92.21, 92.21, 74.88 degrees
Fractional positions:
1 Nd 0.069 0.681 0.961
2 Nd 0.255 0.398 0.417
3 Nd 0.319 0.931 0.539
4 Nd 0.398 0.255 0.917
5 Nd 0.602 0.745 0.083
6 Nd 0.681 0.069 0.461
7 Nd 0.745 0.602 0.583
8 Nd 0.931 0.319 0.039
9 Te 0.016 0.762 0.454
10 Te 0.238 0.984 0.046
11 Te 0.406 0.594 0.750
12 Te 0.594 0.406 0.250
13 Te 0.762 0.016 0.954
14 Te 0.984 0.238 0.546
15 O 0.165 0.416 0.084
16 O 0.416 0.165 0.584
17 O 0.584 0.835 0.416
18 O 0.835 0.584 0.916

=====

## Nd4Te3O (PBE-GGA)

Data for a geometry-optimized Nd4Te3O structure.

Results
* total DFT energy (no corrections): -45.628 eV/f.u.
* DOS at the Fermi energy: 10.6 states/eV per cell
* formation energy (no corrections): -12.17 eV per formula unit
* SG: Pmn2_1, No. 31

Cell lengths 10.202, 8.227, 6.301 Å; angles 90.00, 90.00, 90.00 degrees
Fractional positions:
1 Nd 0.000 0.126 0.000
2 Nd 0.000 0.859 0.490
3 Nd 0.202 0.249 0.476
4 Nd 0.298 0.751 0.976
5 Nd 0.500 0.141 0.990
6 Nd 0.500 0.874 0.500
7 Nd 0.702 0.751 0.976
8 Nd 0.798 0.249 0.476
9 Te 0.000 0.750 0.998
10 Te 0.239 0.358 0.980
11 Te 0.261 0.642 0.480
12 Te 0.500 0.250 0.498
13 Te 0.739 0.642 0.480
14 Te 0.761 0.358 0.980
15 O 0.000 0.135 0.365
16 O 0.500 0.865 0.865

=====

## Nd2Te2O7 (PBE-GGA)

Data for a geometry-optimized Nd2Te2O7 structure.

Results
* total DFT energy (no corrections): -73.786 eV/f.u.
* DOS at the Fermi energy: 0.0 states/eV per cell
* formation energy (no corrections): -23.26 eV per formula unit
* SG: C2/m, No. 12

Cell lengths 5.952, 5.952, 5.976 Å; angles 91.23, 91.23, 96.98 degrees
Fractional positions:
1 Nd 0.203 0.797 0.000
2 Nd 0.797 0.203 0.000
3 Te 0.251 0.251 0.396
4 Te 0.749 0.749 0.604
5 O 0.007 0.007 0.237
6 O 0.121 0.452 0.194
7 O 0.452 0.121 0.194
8 O 0.500 0.500 0.500
9 O 0.548 0.879 0.806
10 O 0.879 0.548 0.806
11 O 0.993 0.993 0.763

=====

## Nd4Te3O4 (PBE-GGA)

Data for a geometry-optimized Nd4Te3O4 structure.

Results
* total DFT energy (no corrections): -69.504 eV/f.u.
* DOS at the Fermi energy: 5.6 states/eV per cell
* formation energy (no corrections): -21.17 eV per formula unit
* SG: Immm, No. 71

Cell lengths 7.948, 7.948, 7.948 Å; angles 144.79, 124.96, 67.04 degrees
Fractional positions:
1 Nd 0.234 0.234 0.000
2 Nd 0.256 0.500 0.756
3 Nd 0.744 0.500 0.244
4 Nd 0.766 0.766 0.000
5 Te 0.000 0.000 0.000
6 Te 0.395 0.895 0.500
7 Te 0.605 0.105 0.500
8 O 0.037 0.323 0.714
9 O 0.391 0.677 0.714
10 O 0.609 0.323 0.286
11 O 0.963 0.677 0.286